No. 1
A relaxed structure of SrAcAs2Pd4, computed with PBE.

```
data_SrAcAs2Pd4
_chemical_formula_sum 'Sr1 Ac1 As2 Pd4'
_cell_length_a 4.243
_cell_length_b 4.243
_cell_length_c 10.275
_cell_angle_alpha 90.00
_cell_angle_beta 90.00
_cell_angle_gamma 90.00
_symmetry_space_group_name_H-M 'P 1'
_symmetry_Int_Tables_number 1
_symmetry_space_group_name_Hall 'P 1'
loop_
_atom_site_label
_atom_site_fract_x
_atom_site_fract_y
_atom_site_fract_z
Sr1 0.000 0.000 0.000
Ac1 0.000 0.000 0.500
As1 0.500 0.500 0.152
As2 0.500 0.500 0.848
Pd1 0.000 0.500 0.280
Pd2 0.000 0.500 0.720
Pd3 0.500 0.000 0.280
Pd4 0.500 0.000 0.720
```

Properties
Energy relative to the elements   -0.695 eV per atom
VASP energy   -5.18 eV/atom
DOS(E_F)   5.5 states/eV/cell



No. 2
A relaxed structure of SrAcAs2Pd2, computed with PBE.

```
data_SrAcAs2Pd2
_chemical_formula_sum 'Sr1 Ac1 As2 Pd2'
_cell_length_a 4.411
_cell_length_b 4.411
_cell_length_c 8.662
_cell_angle_alpha 90.00
_cell_angle_beta 90.00
_cell_angle_gamma 120.00
_symmetry_space_group_name_H-M 'P 1'
_symmetry_Int_Tables_number 1
_symmetry_space_group_name_Hall 'P 1'
loop_
_atom_site_label
_atom_site_fract_x
_atom_site_fract_y
_atom_site_fract_z
Sr1 0.000 0.000 0.000
Ac1 0.000 0.000 0.500
As1 0.333 0.667 0.746
As2 0.667 0.333 0.254
Pd1 0.333 0.667 0.251
Pd2 0.667 0.333 0.749
```

Properties
Energy relative to the elements   -1.109 eV per atom
VASP energy   -5.35 eV/atom
DOS(E_F)   2.9 states/eV/cell



No. 3
A relaxed structure of Ac2TbAs4Pd3, computed with PBE.

```
data_Ac2TbAs4Pd3
_chemical_formula_sum 'Ac2 Tb1 As4 Pd3'
_cell_length_a 4.558
_cell_length_b 4.558
_cell_length_c 10.963
_cell_angle_alpha 90.00
_cell_angle_beta 90.00
_cell_angle_gamma 90.00
_symmetry_space_group_name_H-M 'P 1'
_symmetry_Int_Tables_number 1
_symmetry_space_group_name_Hall 'P 1'
loop_
_atom_site_label
_atom_site_fract_x
_atom_site_fract_y
_atom_site_fract_z
Ac1 0.000 0.500 0.218
Ac2 0.500 0.000 0.782
Tb1 0.000 0.000 0.500
As1 0.000 0.000 0.000
As2 0.000 0.500 0.653
As3 0.500 0.000 0.347
As4 0.500 0.500 0.000
Pd1 0.000 0.500 0.888
Pd2 0.500 0.000 0.112
Pd3 0.500 0.500 0.500
```

Properties
Energy relative to the elements   -1.009 eV per atom
VASP energy   -5.71 eV/atom
DOS(E_F)   2.9 states/eV/cell



No. 4
A relaxed structure of Ac2TbAs3Pd4, computed with PBE.

```
data_Ac2TbAs3Pd4
_chemical_formula_sum 'Ac2 Tb1 As3 Pd4'
_cell_length_a 4.396
_cell_length_b 4.396
_cell_length_c 11.508
_cell_angle_alpha 90.00
_cell_angle_beta 90.00
_cell_angle_gamma 90.00
_symmetry_space_group_name_H-M 'P 1'
_symmetry_Int_Tables_number 1
_symmetry_space_group_name_Hall 'P 1'
loop_
_atom_site_label
_atom_site_fract_x
_atom_site_fract_y
_atom_site_fract_z
Ac1 0.000 0.500 0.217
Ac2 0.500 0.000 0.783
Tb1 0.000 0.000 0.500
As1 0.000 0.500 0.874
As2 0.500 0.000 0.126
As3 0.500 0.500 0.500
Pd1 0.000 0.000 0.000
Pd2 0.000 0.500 0.654
Pd3 0.500 0.000 0.346
Pd4 0.500 0.500 0.000
```

Properties
Energy relative to the elements   -0.964 eV per atom
VASP energy   -5.72 eV/atom
DOS(E_F)   3.8 states/eV/cell